## BaNaCeMnO6 (PBE+U)

Data for a relaxed structure of BaNaCeMnO6.

Cell lengths 8.301, 8.301, 8.301 Å; angles 90.00, 90.00, 90.00 degrees
Space group F-43m (No. 216)
Symmetry-distinct sites (fractional):
Ba: 0.000 0.000 0.000
Na: 0.000 0.000 0.500
Ce: 0.250 0.250 0.250
Mn: 0.250 0.250 0.750
O: 0.018 0.250 0.750

Computed properties:
Calculated volume: 572.0 Å³ per cell
Calculated total energy: -272.396 eV for the cell shown